Entry from the Alexandria database: a relaxed structure of KBiMo2O8 (GGA+U).

```
KBiMo2O8
1.0
6.104 0.000 0.000
-3.052 5.286 0.000
0.000 0.000 7.668
K Bi Mo O
1 1 2 8
Direct
0.000 0.000 0.000
0.000 0.000 0.500
0.333 0.667 0.769
0.667 0.333 0.231
0.167 0.340 0.695
0.174 0.833 0.695
0.333 0.667 0.997
0.340 0.174 0.305
0.660 0.826 0.695
0.667 0.333 0.003
0.826 0.167 0.305
0.833 0.660 0.305
```

Results
* SG: P-3, No. 147
* final energy: -78.6 eV for the cell shown
* crystal system: trigonal